Entry 1:
Tl2InTe: optimized geometry, PBEsol.

SG: No. 99
formation energy without anion corrections: -0.14 eV/atom
N(E_F): 0.90 states/eV/cell
distance to the lowest polymorph of the same formula: 0.00 eV per formula unit

Lattice parameters (Å, degrees): 4.037 4.037 7.056 90.00 90.00 90.00
Fractional positions:
Tl: 0.000 0.000 0.000
Tl: 0.500 0.500 0.266
In: 0.000 0.000 0.522
Te: 0.500 0.500 0.736

Entry 2:
InTeW: optimized geometry, PBEsol.

SG: No. 216
formation energy without anion corrections: 1.65 eV/atom
N(E_F): 3.76 states/eV/cell

Lattice parameters (Å, degrees): 4.759 4.759 4.759 60.00 60.00 60.00
Fractional positions:
In: 0.000 0.000 0.000
Te: 0.250 0.250 0.250
W: 0.750 0.750 0.750

Entry 3:
InTeW2: optimized geometry, PBEsol.

SG: No. 119
formation energy without anion corrections: 0.90 eV/atom
N(E_F): 4.02 states/eV/cell
distance to the lowest polymorph of the same formula: 0.35 eV per formula unit

Lattice parameters (Å, degrees): 5.040 5.040 5.040 129.90 129.90 73.57
Fractional positions:
In: 0.000 0.000 0.000
Te: 0.750 0.250 0.500
W: 0.250 0.750 0.500
W: 0.500 0.500 0.000

What did the third record say?
InTeW2: optimized geometry, PBEsol.

SG: No. 119
formation energy without anion corrections: 0.90 eV/atom
N(E_F): 4.02 states/eV/cell
distance to the lowest polymorph of the same formula: 0.35 eV per formula unit

Lattice parameters (Å, degrees): 5.040 5.040 5.040 129.90 129.90 73.57
Fractional positions:
In: 0.000 0.000 0.000
Te: 0.750 0.250 0.500
W: 0.250 0.750 0.500
W: 0.500 0.500 0.000

Copy entry 1 word for word.
Tl2InTe: optimized geometry, PBEsol.

SG: No. 99
formation energy without anion corrections: -0.14 eV/atom
N(E_F): 0.90 states/eV/cell
distance to the lowest polymorph of the same formula: 0.00 eV per formula unit

Lattice parameters (Å, degrees): 4.037 4.037 7.056 90.00 90.00 90.00
Fractional positions:
Tl: 0.000 0.000 0.000
Tl: 0.500 0.500 0.266
In: 0.000 0.000 0.522
Te: 0.500 0.500 0.736